5
Lattice="-0.536 2.806 -3.796 0.187 -3.805 -2.839 -4.717 -0.469 0.319" Properties=species:S:1:pos:R:3 comment="TcCCl3 | Alexandria | PBE | optimized geometry" sg="Pm-3m, No. 221" e_form_raw_ev_per_atom=1.2892 n_ef_per_ev_fu=8.47 pbc="T T T"
C -2.533 -0.734 -3.158
Tc 0.000 0.000 0.000
Cl 0.093 -1.903 -1.420
Cl -2.359 -0.235 0.159
Cl -0.268 1.403 -1.898